First-principles (PBE-GGA) data for a relaxed structure of CaPrTiO4, as listed in Alexandria.

Summary:
Formation energy without anion corrections = -3.021 eV per atom
Space group = I4mm, No. 107
M_tot = 1.47 μB/cell

Lattice parameters (Å, degrees): 3.8929 3.8929 12.3056 90.00 90.00 90.00
Last column: nearest neighbours and their distance in Å.
Positions (direct):
Ca 0.0000 0.0000 0.0000  1 O 2.27
Ca 0.5000 0.5000 0.5000  1 O 2.27
Pr 0.0000 0.0000 0.2879  1 O 2.28
Pr 0.5000 0.5000 0.7879  1 O 2.28
Ti 0.0000 0.0000 0.6400  6 O 1.95-2.16
Ti 0.5000 0.5000 0.1400  6 O 1.95-2.16
O 0.0000 0.0000 0.4732  1 Ti 2.05, 1 Pr 2.28
O 0.0000 0.0000 0.8153  1 Ti 2.16, 1 Ca 2.27
O 0.0000 0.5000 0.1453  2 Ti 1.95
O 0.0000 0.5000 0.6453  2 Ti 1.95
O 0.5000 0.0000 0.1453  2 Ti 1.95
O 0.5000 0.0000 0.6453  2 Ti 1.95
O 0.5000 0.5000 0.3153  1 Ti 2.16, 1 Ca 2.27
O 0.5000 0.5000 0.9732  1 Ti 2.05, 1 Pr 2.28

=====

First-principles (PBE-GGA) data for a relaxed structure of CaPr2TlO, as listed in Alexandria.

Summary:
Formation energy without anion corrections = -1.342 eV per atom
Space group = P4/mmm, No. 123
M_tot = 0.00 μB/cell

Lattice parameters (Å, degrees): 5.0486 5.0486 4.8698 90.00 90.00 90.00
Last column: nearest neighbours and their distance in Å.
Positions (direct):
Ca 0.0000 0.0000 0.0000  2 O 2.43
Pr 0.0000 0.5000 0.5000  2 O 2.52
Pr 0.5000 0.0000 0.5000  2 O 2.52
Tl 0.5000 0.5000 0.0000  8 Pr 3.51, 4 Ca 3.57
O 0.0000 0.0000 0.5000  2 Ca 2.43, 4 Pr 2.52

=====

First-principles (PBE-GGA) data for a relaxed structure of CaPr2TlO6, as listed in Alexandria.

Summary:
Formation energy without anion corrections = -2.301 eV per atom
Space group = R3, No. 146
M_tot = 1.11 μB/cell

Lattice parameters (Å, degrees): 6.2283 6.2283 6.2283 57.74 57.74 57.74
Last column: nearest neighbours and their distance in Å.
Positions (direct):
Ca 0.0000 0.0000 0.0000  6 O 2.31-2.41
Pr 0.2212 0.2212 0.2212  6 O 2.36-2.51
Pr 0.7211 0.7211 0.7211  6 O 2.39-2.48
Tl 0.5028 0.5028 0.5028  6 O 2.26-2.35
O 0.1324 0.3849 0.8006  1 Tl 2.26, 2 Pr 2.39-2.51, 1 Ca 2.41
O 0.3145 0.8858 0.6185  1 Ca 2.31, 1 Tl 2.35, 2 Pr 2.36-2.48
O 0.3849 0.8006 0.1324  1 Tl 2.26, 2 Pr 2.39-2.51, 1 Ca 2.41
O 0.6185 0.3145 0.8858  1 Ca 2.31, 1 Tl 2.35, 2 Pr 2.36-2.48
O 0.8006 0.1324 0.3849  1 Tl 2.26, 2 Pr 2.39-2.51, 1 Ca 2.41
O 0.8858 0.6185 0.3145  1 Ca 2.31, 1 Tl 2.35, 2 Pr 2.36-2.48

=====

First-principles (PBE-GGA) data for a relaxed structure of CaPr2ZrO6, as listed in Alexandria.

Summary:
Formation energy without anion corrections = -3.264 eV per atom
Space group = R3, No. 146
M_tot = 0.00 μB/cell

Lattice parameters (Å, degrees): 6.0889 6.0889 6.0889 58.24 58.24 58.24
Last column: nearest neighbours and their distance in Å.
Positions (direct):
Ca 0.0000 0.0000 0.0000  6 O 2.31-2.43
Pr 0.2752 0.2752 0.2752  6 O 2.40-2.49
Pr 0.7751 0.7751 0.7751  6 O 2.34-2.54
Zr 0.4953 0.4953 0.4953  6 O 2.10-2.19
O 0.1338 0.6848 0.3784  1 Zr 2.19, 1 Ca 2.31, 1 Pr 2.34
O 0.2217 0.6147 0.8426  1 Zr 2.10
O 0.3784 0.1338 0.6848  1 Zr 2.19, 1 Ca 2.31, 1 Pr 2.34
O 0.6147 0.8426 0.2217  1 Zr 2.10
O 0.6849 0.3784 0.1338  1 Zr 2.19, 1 Ca 2.31, 1 Pr 2.34
O 0.8426 0.2217 0.6147  1 Zr 2.10

=====

First-principles (PBE-GGA) data for a relaxed structure of CaPt3O, as listed in Alexandria.

Summary:
Formation energy without anion corrections = -0.113 eV per atom
Space group = Pm-3m, No. 221
M_tot = 0.00 μB/cell
ΔE to the lowest computed polymorph = 0 meV per atom

Lattice parameters (Å, degrees): 4.3953 4.3953 4.3953 90.00 90.00 90.00
Last column: nearest neighbours and their distance in Å.
Positions (direct):
Ca 0.0000 0.0000 0.0000  12 Pt 3.11
Pt 0.0000 0.5000 0.5000  2 O 2.20
Pt 0.5000 0.0000 0.5000  2 O 2.20
Pt 0.5000 0.5000 0.0000  2 O 2.20
O 0.5000 0.5000 0.5000  6 Pt 2.20

=====

First-principles (PBE-GGA) data for a relaxed structure of CaPtO2, as listed in Alexandria.

Summary:
Formation energy without anion corrections = -0.857 eV per atom
Space group = Fm-3m, No. 225
M_tot = 7.98 μB/cell

Lattice parameters (Å, degrees): 5.8458 5.8458 5.8458 90.00 90.00 90.00
Last column: nearest neighbours and their distance in Å.
Positions (direct):
Ca 0.0000 0.0000 0.0000  8 O 2.53
Ca 0.0000 0.5000 0.5000  8 O 2.53
Ca 0.5000 0.0000 0.5000  8 O 2.53
Ca 0.5000 0.5000 0.0000  8 O 2.53
Pt 0.0000 0.0000 0.5000  8 O 2.53
Pt 0.0000 0.5000 0.0000  8 O 2.53
Pt 0.5000 0.0000 0.0000  8 O 2.53
Pt 0.5000 0.5000 0.5000  8 O 2.53
O 0.2500 0.2500 0.2500  4 Ca 2.53, 4 Pt 2.53
O 0.2500 0.2500 0.7500  4 Ca 2.53, 4 Pt 2.53
O 0.2500 0.7500 0.2500  4 Ca 2.53, 4 Pt 2.53
O 0.2500 0.7500 0.7500  4 Ca 2.53, 4 Pt 2.53
O 0.7500 0.2500 0.2500  4 Ca 2.53, 4 Pt 2.53
O 0.7500 0.2500 0.7500  4 Ca 2.53, 4 Pt 2.53
O 0.7500 0.7500 0.2500  4 Ca 2.53, 4 Pt 2.53
O 0.7500 0.7500 0.7500  4 Ca 2.53, 4 Pt 2.53

=====

First-principles (PBE-GGA) data for a relaxed structure of CaPtO, as listed in Alexandria.

Summary:
Formation energy without anion corrections = -1.541 eV per atom
Space group = Immm, No. 71
M_tot = 0.00 μB/cell

Lattice parameters (Å, degrees): 3.6929 4.5609 11.4816 90.00 90.00 90.00
Last column: nearest neighbours and their distance in Å.
Positions (direct):
Ca 0.0000 0.0000 0.1941  4 O 2.28-2.33
Ca 0.0000 0.0000 0.8059  4 O 2.28-2.33
Ca 0.5000 0.5000 0.3059  4 O 2.28-2.33
Ca 0.5000 0.5000 0.6941  4 O 2.28-2.33
Pt 0.0000 0.5000 0.0000  2 O 2.10
Pt 0.0000 0.5000 0.5000  4 Ca 2.89, 4 Pt 2.93
Pt 0.5000 0.0000 0.0000  4 Ca 2.89, 4 Pt 2.93
Pt 0.5000 0.0000 0.5000  2 O 2.10
O 0.0000 0.5000 0.1828  1 Pt 2.10, 4 Ca 2.28-2.33
O 0.0000 0.5000 0.8172  1 Pt 2.10, 4 Ca 2.28-2.33
O 0.5000 0.0000 0.3172  1 Pt 2.10, 4 Ca 2.28-2.33
O 0.5000 0.0000 0.6828  1 Pt 2.10, 4 Ca 2.28-2.33

=====

First-principles (PBE-GGA) data for a relaxed structure of Ca3PtO5, as listed in Alexandria.

Summary:
Formation energy without anion corrections = -1.855 eV per atom
Space group = I4/mcm, No. 140
M_tot = 0.00 μB/cell

Lattice parameters (Å, degrees): 7.5972 7.5972 7.5972 129.87 129.87 73.61
Last column: nearest neighbours and their distance in Å.
Positions (direct):
Ca 0.1747 0.6747 0.8493  8 O 2.31-2.55
Ca 0.2500 0.2500 0.0000  10 O 2.90-3.04, 4 Pt 3.22
Ca 0.3253 0.1747 0.5000  8 O 2.31-2.55
Ca 0.6747 0.8253 0.5000  8 O 2.31-2.55
Ca 0.7500 0.7500 0.0000  10 O 2.90-3.04, 4 Pt 3.22
Ca 0.8253 0.3253 0.1507  8 O 2.31-2.55
Pt 0.2500 0.7500 0.5000  4 O 1.94
Pt 0.7500 0.2500 0.5000  4 O 1.94
O 0.0000 0.0000 0.0000  4 Ca 2.38
O 0.0094 0.2344 0.5000  1 Pt 1.94
O 0.2344 0.7344 0.2250  1 Pt 1.94
O 0.2656 0.4906 0.5000  1 Pt 1.94
O 0.4906 0.9906 0.2250  1 Pt 1.94
O 0.5000 0.5000 0.0000  4 Ca 2.38
O 0.5094 0.0094 0.7750  1 Pt 1.94
O 0.7344 0.5094 0.5000  1 Pt 1.94
O 0.7656 0.2656 0.7750  1 Pt 1.94
O 0.9906 0.7656 0.5000  1 Pt 1.94

=====

Which value of M_tot does entry 1 give?
1.47 μB/cell